# 1
The following is a PBE calculation of an optimized crystal structure of LiAc3Ga2Cu6, from Alexandria.

Values from the calculation:
Its density of states at the Fermi level is 6.3 states/eV/cell. For the volume, the calculation gives 21.63 Å³ per atom. As for the electronic total energy: -46.18 eV per formula unit. The formation enthalpy at 0 K comes out at -109 meV per atom.

a b c (Å): 6.0665 6.0665 8.1454
angles (deg): 90.00 90.00 120.00
Space group P-3m1 (No. 164)
Unique sites:
Li 0.0000 0.0000 0.0000 x1
Ac 0.0000 0.0000 0.5000 x1
Ac 0.3333 0.6667 0.2378 x2
Ga 0.3333 0.6667 0.6306 x2
Cu 0.1958 0.3916 0.8859 x6

# 2
The following is a PBE calculation of an optimized crystal structure of Ac2YO, from Alexandria.

Values from the calculation:
As for the energy relative to the elements, uncorrected: -369 kJ/mol of formula units. Its density of states at the Fermi level is 16.9 states/eV/cell. For the volume, the calculation gives 31.49 Å³ per atom. As for the electronic total energy: -23.46 eV per formula unit.

a b c (Å): 3.7977 3.7977 30.2585
angles (deg): 90.00 90.00 120.00
Space group R-3m (No. 166, hexagonal axes)
Unique sites:
Ac 0.0000 0.0000 0.1167 x6
Y 0.0000 0.0000 0.0000 x3
O 0.0000 0.0000 0.5000 x3

# 3
The following is a PBE calculation of an optimized crystal structure of Pm2PrSm3, from Alexandria.

Values from the calculation:
Its density of states at the Fermi level is 41.9 states/eV/cell. For the volume, the calculation gives 39.81 Å³ per atom. As for the electronic total energy: -25.20 eV per formula unit. The formation enthalpy at 0 K comes out at 540 meV per atom.

a b c (Å): 11.297 12.017 7.038
angles (deg): 90.00 90.00 90.00
Space group Ibam (No. 72)
Unique sites:
Pm 0.244 0.211 0.000 x8
Pr 0.000 0.500 0.000 x4
Sm 0.000 0.000 0.250 x4
Sm 0.000 0.263 0.250 x8

# 4
The following is a PBE calculation of an optimized crystal structure of NbSbH3, from Alexandria.

Values from the calculation:
Its density of states at the Fermi level is 2.9 states/eV/cell. For the volume, the calculation gives 11.29 Å³ per atom. As for the electronic total energy: -18.58 eV per formula unit.

a b c (Å): 3.836 3.836 3.836
angles (deg): 90.00 90.00 90.00
Space group Pm-3m (No. 221)
Unique sites:
Nb 0.000 0.000 0.000 x1
Sb 0.500 0.500 0.500 x1
H 0.000 0.500 0.500 x3